DFT (GGA-PBE) results for NiP2Cl after structural relaxation.

The structure in POSCAR format:
```
NiP2Cl
1.0
-1.630 -2.216 -1.529
-0.807 -1.303 2.749
-5.526 3.906 0.229
P Cl Ni
2 1 1
direct
0.000 0.000 0.999 P
0.500 0.500 0.129 P
0.000 0.000 0.574 Cl
0.500 0.500 0.799 Ni
```

## Properties
The energy is -17.900 eV/cell. As for the energy above the most stable polymorph in this dataset: 350 meV/atom. For the uncorrected formation energy, the calculation gives 0.137 eV/atom.



DFT (GGA-PBE) results for HoSc5Bi3 after structural relaxation.

The structure in POSCAR format:
```
HoSc5Bi3
1.0
6.280 0.000 0.000
0.000 7.811 -4.510
0.000 0.000 9.020
Sc Bi Ho
10 6 2
direct
0.000 0.333 0.667 Sc
0.750 0.337 0.000 Sc
0.250 0.663 0.000 Sc
0.250 0.000 0.663 Sc
0.750 0.663 0.663 Sc
0.000 0.667 0.333 Sc
0.500 0.333 0.667 Sc
0.250 0.337 0.337 Sc
0.500 0.667 0.333 Sc
0.750 0.000 0.337 Sc
0.250 0.666 0.666 Bi
0.250 0.000 0.334 Bi
0.750 0.334 0.334 Bi
0.750 0.666 0.000 Bi
0.750 0.000 0.666 Bi
0.250 0.334 0.000 Bi
0.500 0.000 0.000 Ho
0.000 0.000 0.000 Ho
```

## Properties
The energy is -103.222 eV/cell. As for the energy above the most stable polymorph in this dataset: 0 meV/atom. Its formation enthalpy at 0 K is -415 meV/atom.